An optimized crystal structure of BiTeCN2. Source: Alexandria, functional GGA-PBE.

a b c (Å): 4.1715 4.1715 4.3842
angles (deg): 90.00 90.00 90.00
Site moments in Bohr magnetons follow the coordinates.
Fractional positions:
C (0.0000, 0.0000, 0.0000)  -0.03
Te (0.0000, 0.0000, 0.5000)  0.03
Bi (0.5000, 0.5000, 0.5000)  -0.07
N (0.0000, 0.5000, 0.0000)  0.45
N (0.5000, 0.0000, 0.0000)  0.45

Output
Its total magnetic moment is 1.16 μB per formula unit. Its energy above the most stable polymorph in this dataset is 0 meV per atom. Its uncorrected formation energy is 2.33 eV per atom. For the total DFT energy (no corrections), the calculation gives -4.25 eV/atom.

***

An optimized crystal structure of ScRe2Br. Source: Alexandria, functional GGA-PBE.

a b c (Å): 3.0568 4.3994 5.6927
angles (deg): 90.00 90.00 90.00
Fractional positions:
Br (0.5000, 0.5000, 0.7500)
Re (0.0000, 0.0000, 0.0519)
Re (0.0000, 0.0000, 0.4481)
Sc (0.5000, 0.5000, 0.2500)

Output
Its total magnetic moment is 0.00 μB per formula unit. Its energy above the most stable polymorph in this dataset is 667 meV per atom. Its uncorrected formation energy is 0.59 eV per atom. For the total DFT energy (no corrections), the calculation gives -7.64 eV/atom.

***

An optimized crystal structure of CsRb2Na2. Source: Alexandria, functional GGA-PBE.

a b c (Å): 7.3203 7.3203 8.9460
angles (deg): 65.85 65.85 90.00
Fractional positions:
Cs (0.0000, 0.0000, 0.0000)
Na (0.7500, 0.2500, 0.5000)
Na (0.2500, 0.7500, 0.5000)
Rb (0.3544, 0.3544, 0.2913)
Rb (0.6456, 0.6456, 0.7087)

Output
Its total magnetic moment is 0.00 μB per formula unit. Its energy above the most stable polymorph in this dataset is 67 meV per atom. For the total DFT energy (no corrections), the calculation gives -0.99 eV/atom. The energy of formation is 0.097 eV per atom.

***

An optimized crystal structure of NdTh2Rh3. Source: Alexandria, functional GGA-PBE.

a b c (Å): 5.8010 8.2022 12.2736
angles (deg): 90.00 90.00 89.99
Fractional positions:
Nd (0.2502, 0.8806, 0.0827)
Nd (0.2502, 0.3806, 0.4173)
Nd (0.7498, 0.6194, 0.5827)
Nd (0.7498, 0.1194, 0.9173)
Th (0.2498, 0.8787, 0.7498)
Th (0.2498, 0.3787, 0.7502)
Th (0.2500, 0.8757, 0.4164)
Th (0.2500, 0.3757, 0.0836)
Th (0.7500, 0.6243, 0.9164)
Th (0.7500, 0.1243, 0.5836)
Th (0.7502, 0.6213, 0.2498)
Th (0.7502, 0.1213, 0.2502)
Rh (0.2496, 0.6356, 0.5877)
Rh (0.2496, 0.1356, 0.9123)
Rh (0.2499, 0.6233, 0.9146)
Rh (0.2499, 0.1233, 0.5854)
Rh (0.2501, 0.6281, 0.2492)
Rh (0.2501, 0.1281, 0.2508)
Rh (0.7499, 0.8719, 0.7492)
Rh (0.7499, 0.3719, 0.7508)
Rh (0.7501, 0.8767, 0.4146)
Rh (0.7501, 0.3767, 0.0854)
Rh (0.7504, 0.8644, 0.0877)
Rh (0.7504, 0.3644, 0.4123)

Output
Its total magnetic moment is 0.00 μB per formula unit. For the total DFT energy (no corrections), the calculation gives -7.74 eV/atom. The energy of formation is -0.794 eV per atom.

***

An optimized crystal structure of PmGa2SiPt5. Source: Alexandria, functional GGA-PBE.

a b c (Å): 4.5691 5.6208 7.5812
angles (deg): 111.76 107.54 90.00
Fractional positions:
Pm (0.0000, 0.5000, 0.0000)
Ga (0.1936, 0.1936, 0.3871)
Ga (0.8064, 0.8064, 0.6129)
Si (0.5000, 0.0000, 0.0000)
Pt (0.6472, 0.8930, 0.2944)
Pt (0.3528, 0.1070, 0.7056)
Pt (0.3528, 0.5986, 0.7056)
Pt (0.6472, 0.4014, 0.2944)
Pt (0.0000, 0.0000, 0.0000)

Output
Its total magnetic moment is 0.00 μB per formula unit. Its uncorrected formation energy is -0.63 eV per atom. For the total DFT energy (no corrections), the calculation gives -5.79 eV/atom.

***

An optimized crystal structure of Cs2KPPd. Source: Alexandria, functional GGA-PBE.

a b c (Å): 7.2285 7.2285 4.5066
angles (deg): 90.00 90.00 90.00
Fractional positions:
Cs (0.0000, 0.5000, 0.0000)
Cs (0.5000, 0.0000, 0.0000)
P (0.0000, 0.0000, 0.0000)
K (0.5000, 0.5000, 0.5000)
Pd (0.0000, 0.0000, 0.5000)

Output
Its total magnetic moment is 0.00 μB per formula unit. Its energy above the most stable polymorph in this dataset is 0 meV per atom. For the total DFT energy (no corrections), the calculation gives -2.79 eV/atom. The energy of formation is -0.112 eV per atom.

***

An optimized crystal structure of Cs12Au5I3. Source: Alexandria, functional GGA-PBE.

a b c (Å): 19.0540 19.0540 19.0540
angles (deg): 109.47 109.47 109.47
Fractional positions:
I (0.7500, 0.3750, 0.1250)
I (0.8750, 0.7500, 0.1250)
I (0.3750, 0.7500, 0.6250)
I (0.2500, 0.1250, 0.3750)
I (0.8750, 0.1250, 0.2500)
I (0.3750, 0.6250, 0.2500)
I (0.6250, 0.3750, 0.7500)
I (0.1250, 0.8750, 0.7500)
I (0.7500, 0.8750, 0.6250)
I (0.6250, 0.2500, 0.3750)
I (0.1250, 0.2500, 0.8750)
I (0.2500, 0.6250, 0.8750)
Au (0.1250, 0.3750, 0.2500)
Au (0.0000, 0.5000, 0.0000)
Au (0.0000, 0.0000, 0.0000)
Au (0.3750, 0.2500, 0.1250)
Au (0.5000, 0.0000, 0.5000)
Au (0.5000, 0.5000, 0.0000)
Au (0.1250, 0.7500, 0.3750)
Au (0.7500, 0.1250, 0.8750)
Au (0.7500, 0.6250, 0.3750)
Au (0.3750, 0.1250, 0.7500)
Au (0.6250, 0.8750, 0.2500)
Au (0.5000, 0.5000, 0.5000)
Au (0.5000, 0.0000, 0.0000)
Au (0.0000, 0.0000, 0.5000)
Au (0.2500, 0.3750, 0.6250)
Au (0.2500, 0.8750, 0.1250)
Au (0.0000, 0.5000, 0.5000)
Au (0.8750, 0.2500, 0.6250)
Au (0.6250, 0.7500, 0.8750)
Au (0.8750, 0.6250, 0.7500)
Cs (0.7167, 0.1226, 0.0407)
Cs (0.3240, 0.5407, 0.4181)
Cs (0.9593, 0.3774, 0.2833)
Cs (0.5407, 0.2167, 0.1226)
Cs (0.5941, 0.7167, 0.6760)
Cs (0.9593, 0.5819, 0.1760)
Cs (0.3240, 0.7833, 0.4059)
Cs (0.0819, 0.9059, 0.1226)
Cs (0.5819, 0.9593, 0.6760)
Cs (0.7167, 0.5941, 0.1760)
Cs (0.7833, 0.4593, 0.3774)
Cs (0.8240, 0.9181, 0.0407)
Cs (0.1226, 0.7167, 0.5407)
Cs (0.3774, 0.4181, 0.0941)
Cs (0.0941, 0.9181, 0.3774)
Cs (0.4059, 0.1226, 0.5819)
Cs (0.0941, 0.1760, 0.2167)
Cs (0.4593, 0.6760, 0.0819)
Cs (0.8240, 0.9059, 0.2833)
Cs (0.1226, 0.4059, 0.0819)
Cs (0.3774, 0.9593, 0.7833)
Cs (0.5819, 0.6226, 0.4059)
Cs (0.9181, 0.8240, 0.5407)
Cs (0.7833, 0.3240, 0.9059)
Cs (0.4181, 0.3774, 0.5941)
Cs (0.0819, 0.1760, 0.4593)
Cs (0.2167, 0.6760, 0.0941)
Cs (0.1760, 0.0941, 0.7167)
Cs (0.6226, 0.0407, 0.2167)
Cs (0.8774, 0.5941, 0.9181)
Cs (0.5407, 0.3240, 0.9181)
Cs (0.5941, 0.8774, 0.4181)
Cs (0.9059, 0.8240, 0.7833)
Cs (0.9059, 0.0819, 0.6226)
Cs (0.8774, 0.2833, 0.4593)
Cs (0.1760, 0.0819, 0.9593)
Cs (0.6226, 0.5819, 0.9059)
Cs (0.4181, 0.0407, 0.3240)
Cs (0.2833, 0.4059, 0.8240)
Cs (0.2167, 0.5407, 0.6226)
Cs (0.9181, 0.0941, 0.8774)
Cs (0.6760, 0.2167, 0.5941)
Cs (0.4593, 0.7833, 0.8774)
Cs (0.0407, 0.4181, 0.8240)
Cs (0.4059, 0.2833, 0.3240)
Cs (0.0407, 0.6226, 0.7167)
Cs (0.6760, 0.4593, 0.5819)
Cs (0.2833, 0.8774, 0.9593)

Output
Its total magnetic moment is 0.00 μB per formula unit. Its uncorrected formation energy is -0.53 eV per atom. For the total DFT energy (no corrections), the calculation gives -2.10 eV/atom.

***

An optimized crystal structure of HfBeRu2. Source: Alexandria, functional GGA-PBE.

a b c (Å): 3.2389 4.2119 4.2119
angles (deg): 90.00 90.00 90.00
Fractional positions:
Ru (0.0000, 0.0000, 0.5000)
Ru (0.0000, 0.5000, 0.0000)
Hf (0.5000, 0.5000, 0.5000)
Be (0.5000, 0.0000, 0.0000)

Output
Its total magnetic moment is 0.00 μB per formula unit. For the total DFT energy (no corrections), the calculation gives -8.40 eV/atom. The energy of formation is -0.340 eV per atom.